[1]
First-principles (GGA-PBE) data for an optimized crystal structure of LaSb2Au2, as listed in the Alexandria database.

abc: 4.701 4.701 6.772
angles: 69.69 69.69 90.00
Sites, in units of the cell vectors:
Sb1 0.750 0.250 0.500
Sb2 0.250 0.750 0.500
Au1 0.388 0.388 0.224
Au2 0.612 0.612 0.776
La1 0.000 0.000 0.000

As for the space group: I4/mmm (139). The formation energy from raw total energies comes out at -0.50 eV/atom.



[2]
First-principles (GGA-PBE) data for an optimized crystal structure of LiTa4Rh, as listed in the Alexandria database.

abc: 5.385 5.385 5.385
angles: 60.00 60.00 60.00
Sites, in units of the cell vectors:
Li1 0.250 0.250 0.250
Ta1 0.625 0.625 0.625
Ta2 0.625 0.625 0.126
Ta3 0.625 0.126 0.625
Ta4 0.126 0.625 0.625
Rh1 0.000 0.000 0.000

The calculation puts the energy of formation from the pure elements at 0.4588 eV/atom. As for the space group: F-43m (216).



So what do the calculations give for Fermi-level density of states? Going down the list: 2.407 5.702 states/eV/f.u..